No. 1
Entry from the Alexandria database: a relaxed structure of AgP2Cl (PBE-GGA).

The space group is Fm-3m (No. 225) and the conventional cell measures 6.518, 6.518 and 6.518 Å, with angles of 90.00, 90.00 and 90.00 degrees. The distinct sites, in fractional coordinates, are Ag at (0.000, 0.000, 0.000), P at (0.250, 0.250, 0.250) and Cl at (0.000, 0.000, 0.500).

As for the total energy: -3.048 eV/atom. As for the relative energy among the computed polymorphs: 3.80 eV per formula unit. Its density of states at the Fermi level is 0.662 states/eV per atom. The uncorrected formation energy is 0.83 eV/atom.

---

No. 2
Entry from the Alexandria database: a relaxed structure of CrTePt (PBE-GGA).

The space group is F-43m (No. 216) and the conventional cell measures 6.318, 6.318 and 6.318 Å, with angles of 90.00, 90.00 and 90.00 degrees. The distinct sites, in fractional coordinates, are Cr at (0.000, 0.000, 0.000), Te at (0.000, 0.000, 0.500) and Pt at (0.250, 0.250, 0.750).

As for the total energy: -6.312 eV/atom. As for the relative energy among the computed polymorphs: 0.00 eV per formula unit. Its density of states at the Fermi level is 0.566 states/eV per atom. The uncorrected formation energy is -0.04 eV/atom.

---

No. 3
Entry from the Alexandria database: a relaxed structure of Ca2CrW (PBE-GGA).

The space group is P4mm (No. 99) and the conventional cell measures 3.308, 3.308 and 8.898 Å, with angles of 90.00, 90.00 and 90.00 degrees. The distinct sites, in fractional coordinates, are Ca at (0.000, 0.000, 0.000), Ca at (0.500, 0.500, 0.386), Cr at (0.500, 0.500, 0.746) and W at (0.000, 0.000, 0.645).

As for the total energy: -6.153 eV/atom. As for the relative energy among the computed polymorphs: 0.00 eV per formula unit. Its density of states at the Fermi level is 0.989 states/eV per atom. The formation energy is 0.492 eV per atom.

---

No. 4
Entry from the Alexandria database: a relaxed structure of BeRuPt2 (PBE-GGA).

The space group is Pmmm (No. 47) and the conventional cell measures 2.750, 3.765 and 5.332 Å, with angles of 90.00, 90.00 and 90.00 degrees. The distinct sites, in fractional coordinates, are Be at (0.000, 0.000, 0.000), Ru at (0.000, 0.000, 0.500) and Pt at (0.500, 0.500, 0.244).

As for the total energy: -6.403 eV/atom. Its density of states at the Fermi level is 1.042 states/eV per atom. The formation energy is -0.132 eV per atom.

---

No. 5
Entry from the Alexandria database: a relaxed structure of PrSm3Er4 (PBE-GGA).

The space group is P2/m (No. 10) and the conventional cell measures 3.595, 10.017 and 7.187 Å, with angles of 90.00, 90.11 and 90.00 degrees. The distinct sites, in fractional coordinates, are Pr at (0.000, 0.000, 0.000), Sm at (0.000, 0.000, 0.500), Sm at (0.000, 0.500, 0.000), Sm at (0.000, 0.500, 0.500) and Er at (0.500, 0.251, 0.251).

As for the total energy: -4.628 eV/atom. As for the relative energy among the computed polymorphs: 0.00 eV per formula unit. Its density of states at the Fermi level is 1.459 states/eV per atom. The formation energy is 0.020 eV per atom.

---

No. 6
Entry from the Alexandria database: a relaxed structure of PrHoPa2As4 (PBE-GGA).

The space group is P2/m (No. 10) and the conventional cell measures 7.178, 4.142 and 7.179 Å, with angles of 90.00, 109.44 and 90.00 degrees. The distinct sites, in fractional coordinates, are Pr at (0.000, 0.000, 0.000), Ho at (0.500, 0.500, 0.000), Pa at (0.000, 0.500, 0.500), Pa at (0.500, 0.000, 0.500), As at (0.254, 0.000, 0.744) and As at (0.260, 0.500, 0.261).

As for the total energy: -7.134 eV/atom. Its density of states at the Fermi level is 0.995 states/eV per atom. The formation energy is -1.266 eV per atom.